[1]
First-principles (PBE) data for crystalline SiAsSe2N at its relaxed geometry, as listed in Alexandria.

a b c (Å): 4.3669 4.3669 4.4626
angles (deg): 90.00 90.00 90.00
Space group P4/mmm (No. 123)
Asymmetric unit:
Si 0.0000 0.0000 0.0000
As 0.5000 0.5000 0.0000
Se 0.0000 0.5000 0.5000
N 0.5000 0.5000 0.5000

Values from the calculation:
Relative energy among the computed polymorphs (meV/atom): 629
Uncorrected formation energy (eV per atom): 0.975
Fermi-level density of states (states/eV/atom): 0.9647

---

[2]
First-principles (PBE) data for crystalline SiAsSe2N at its relaxed geometry, as listed in Alexandria.

a b c (Å): 4.8554 4.8554 4.8229
angles (deg): 90.00 90.00 90.00
Space group P4/mmm (No. 123)
Asymmetric unit:
Si 0.0000 0.0000 0.0000
As 0.0000 0.0000 0.5000
Se 0.0000 0.5000 0.0000
N 0.5000 0.5000 0.5000

Values from the calculation:
Relative energy among the computed polymorphs (meV/atom): 1115
Uncorrected formation energy (eV per atom): 1.461
Fermi-level density of states (states/eV/atom): 0.7751

---

[3]
First-principles (PBE) data for crystalline SiAsSeN2 at its relaxed geometry, as listed in Alexandria.

a b c (Å): 3.5121 3.5121 7.6027
angles (deg): 90.00 90.00 90.00
Space group P4/mmm (No. 123)
Asymmetric unit:
Si 0.0000 0.0000 0.0000
As 0.5000 0.5000 0.5000
Se 0.0000 0.0000 0.5000
N 0.0000 0.5000 0.0000

Values from the calculation:
Relative energy among the computed polymorphs (meV/atom): 0
Uncorrected formation energy (eV per atom): 0.666
Fermi-level density of states (states/eV/atom): 0.3890

---

[4]
First-principles (PBE) data for crystalline SiAsSeN2 at its relaxed geometry, as listed in Alexandria.

a b c (Å): 3.7019 3.7019 6.1868
angles (deg): 90.00 90.00 90.00
Space group P4/mmm (No. 123)
Asymmetric unit:
Si 0.0000 0.0000 0.0000
As 0.5000 0.5000 0.5000
Se 0.5000 0.5000 0.0000
N 0.0000 0.5000 0.5000

Values from the calculation:
Relative energy among the computed polymorphs (meV/atom): 637
Uncorrected formation energy (eV per atom): 1.304
Fermi-level density of states (states/eV/atom): 0.3248

---

[5]
First-principles (PBE) data for crystalline Sm8As3Se4N at its relaxed geometry, as listed in Alexandria.

a b c (Å): 8.2171 8.2171 20.4721
angles (deg): 90.00 90.00 120.00
Space group R-3m (No. 166, hexagonal axes)
Asymmetric unit:
Sm 0.0000 0.0000 0.2467
Sm 0.0247 0.5123 0.2409
As 0.0000 0.5000 0.5000
Se 0.0000 0.0000 0.0000
Se 0.0000 0.5000 0.0000
N 0.0000 0.0000 0.5000

Values from the calculation:
Uncorrected formation energy (eV per atom): -1.658
Fermi-level density of states (states/eV/atom): 0.3745

---

[6]
First-principles (PBE) data for crystalline Sm4AsSe2N at its relaxed geometry, as listed in Alexandria.

a b c (Å): 6.9767 3.9973 7.1507
angles (deg): 90.00 108.80 90.00
Space group P2/m (No. 10)
Asymmetric unit:
Sm 0.2168 0.0000 0.2115
Sm 0.2308 0.5000 0.7798
As 0.5000 0.0000 0.0000
Se 0.0000 0.0000 0.5000
Se 0.5000 0.5000 0.5000
N 0.0000 0.5000 0.0000

Values from the calculation:
Uncorrected formation energy (eV per atom): -1.614
Fermi-level density of states (states/eV/atom): 0.3956

---

[7]
First-principles (PBE) data for crystalline Sr6As2SeN at its relaxed geometry, as listed in Alexandria.

a b c (Å): 7.2297 8.0811 12.8127
angles (deg): 90.00 124.24 90.00
Space group P2_1/c (No. 14)
Asymmetric unit:
Sr 0.1006 0.0472 0.2296
Sr 0.2291 0.7112 0.0657
Sr 0.3601 0.1702 0.0640
As 0.2875 0.0931 0.7482
Se 0.5000 0.0000 0.5000
N 0.0000 0.0000 0.0000

Values from the calculation:
Uncorrected formation energy (eV per atom): -1.082
Fermi-level density of states (states/eV/atom): 0.3190

---

[8]
First-principles (PBE) data for crystalline TaAsSe2N at its relaxed geometry, as listed in Alexandria.

a b c (Å): 4.3618 4.3618 4.2397
angles (deg): 90.00 90.00 90.00
Space group P4/mmm (No. 123)
Asymmetric unit:
Ta 0.0000 0.0000 0.0000
As 0.5000 0.5000 0.0000
Se 0.0000 0.5000 0.5000
N 0.5000 0.5000 0.5000

Values from the calculation:
Relative energy among the computed polymorphs (meV/atom): 649
Uncorrected formation energy (eV per atom): 0.842
Fermi-level density of states (states/eV/atom): 0.6299